Below is a relaxed KNpAg2O6 crystal, with properties calculated at the PBE level.

Properties
* crystal system: triclinic
* symmetry: No. 1
* raw formation energy: -1364 meV/atom

a = 6.027 Å, b = 5.880 Å, c = 6.547 Å
α = 89.40°, β = 123.40°, γ = 116.72°
Fractional positions:
O  0.201  0.402  0.182
O  0.752  0.620  0.694
O  0.964  0.868  0.249
O  0.603  0.958  0.818
O  0.025  0.125  0.698
O  0.408  0.011  0.167
Ag  0.586  0.782  0.394
Ag  0.422  0.213  0.635
Np  0.009  0.004  0.991
K  0.995  0.494  0.474


Below is a relaxed La2RhBr crystal, with properties calculated at the PBE level.

Properties
* offset from the most stable computed form: 423 meV per atom
* crystal system: cubic
* symmetry: No. 225
* raw formation energy: -765 meV/atom

a = 5.230 Å, b = 5.230 Å, c = 5.230 Å
α = 60.00°, β = 60.00°, γ = 60.00°
Fractional positions:
Rh  0.500  0.500  0.500
Br  0.000  0.000  0.000
La  0.750  0.750  0.750
La  0.250  0.250  0.250


Below is a relaxed Cd2B2As crystal, with properties calculated at the PBE level.

Properties
* offset from the most stable computed form: 0 meV per atom
* ΔE_f: 0.812 eV per atom
* crystal system: tetragonal
* symmetry: No. 127

a = 6.179 Å, b = 6.179 Å, c = 4.056 Å
α = 90.00°, β = 90.00°, γ = 90.00°
Fractional positions:
Cd  0.691  0.809  0.500
Cd  0.309  0.191  0.500
Cd  0.191  0.691  0.500
Cd  0.809  0.309  0.500
B  0.093  0.407  0.000
B  0.593  0.093  0.000
B  0.907  0.593  0.000
B  0.407  0.907  0.000
As  0.000  0.000  0.000
As  0.500  0.500  0.000


Below is a relaxed TiAl3Ni2 crystal, with properties calculated at the PBE level.

Properties
* ΔE_f: -0.583 eV per atom
* crystal system: tetragonal
* symmetry: No. 123

a = 2.904 Å, b = 2.904 Å, c = 9.553 Å
α = 90.00°, β = 90.00°, γ = 90.00°
Fractional positions:
Ni  0.500  0.500  0.851
Ni  0.500  0.500  0.149
Al  0.000  0.000  0.000
Al  0.000  0.000  0.298
Al  0.000  0.000  0.702
Ti  0.500  0.500  0.500


Below is a relaxed AgHgSbTe3 crystal, with properties calculated at the PBE level.

Properties
* crystal system: monoclinic
* symmetry: No. 11
* raw formation energy: -34 meV/atom

a = 4.458 Å, b = 8.375 Å, c = 10.863 Å
α = 103.28°, β = 90.00°, γ = 90.00°
Fractional positions:
Te  0.750  0.413  0.151
Te  0.250  0.721  0.443
Te  0.250  0.069  0.828
Te  0.750  0.931  0.172
Te  0.250  0.587  0.849
Te  0.750  0.279  0.557
Ag  0.250  0.085  0.556
Ag  0.750  0.915  0.444
Sb  0.750  0.336  0.834
Sb  0.250  0.664  0.166
Hg  0.250  0.156  0.119
Hg  0.750  0.844  0.881


Below is a relaxed KUAg2Cl8 crystal, with properties calculated at the PBE level.

Properties
* crystal system: triclinic
* symmetry: No. 2
* raw formation energy: -1289 meV/atom

a = 6.432 Å, b = 7.313 Å, c = 9.344 Å
α = 70.62°, β = 88.37°, γ = 98.48°
Fractional positions:
Cl  0.843  0.183  0.150
Cl  0.437  0.265  0.443
Cl  0.877  0.221  0.753
Cl  0.656  0.756  0.041
Cl  0.123  0.779  0.247
Cl  0.344  0.244  0.959
Cl  0.157  0.817  0.850
Cl  0.563  0.735  0.557
Ag  0.481  0.356  0.680
Ag  0.519  0.644  0.320
K  0.000  0.000  0.500
U  0.000  0.000  0.000


Below is a relaxed MgSc3Cl crystal, with properties calculated at the PBE level.

Properties
* offset from the most stable computed form: 0 meV per atom
* crystal system: cubic
* symmetry: No. 221
* raw formation energy: -368 meV/atom

a = 4.845 Å, b = 4.845 Å, c = 4.845 Å
α = 90.00°, β = 90.00°, γ = 90.00°
Fractional positions:
Mg  0.500  0.500  0.500
Sc  0.000  0.000  0.500
Sc  0.500  0.000  0.000
Sc  0.000  0.500  0.000
Cl  0.000  0.000  0.000


Below is a relaxed Ba2Ag4Hg3Pb crystal, with properties calculated at the PBE level.

Properties
* ΔE_f: -0.246 eV per atom
* crystal system: tetragonal
* symmetry: No. 115

a = 4.839 Å, b = 4.839 Å, c = 12.040 Å
α = 90.00°, β = 90.00°, γ = 90.00°
Fractional positions:
Hg  0.500  0.000  0.872
Hg  0.000  0.000  0.500
Hg  0.000  0.500  0.128
Ba  0.500  0.000  0.244
Ba  0.000  0.500  0.756
Ag  0.000  0.000  0.000
Ag  0.500  0.500  0.000
Ag  0.000  0.500  0.361
Ag  0.500  0.000  0.639
Pb  0.500  0.500  0.500